Record 1
PBE Tm2Zr, relaxed; distance to the lowest polymorph of the same formula = 0.0 meV per atom; total magnetization = 0.000 μB/atom
1.0
3.410 0.002 0.001
1.706 2.955 -0.001
1.706 -0.982 8.173
Tm Zr
2 1
Direct
0.981 0.751 0.311
0.075 0.204 0.674
0.528 0.978 0.992

Record 2
PBE BeTcTeI2, relaxed; distance to the lowest polymorph of the same formula = 14.8 meV per atom; raw formation energy = 0.93 eV/atom; total magnetization = 0.972 μB/atom
1.0
5.119 0.000 0.000
0.000 5.119 0.000
0.000 0.000 5.380
I Tc Te Be
2 1 1 1
Direct
0.000 0.500 0.000
0.500 0.000 0.000
0.500 0.500 0.500
0.000 0.000 0.500
0.000 0.000 0.000